Density functional theory data (GGA-PBE) for a relaxed Cd2PSe crystal.

Lattice parameters (Å, degrees): 4.078 4.160 6.509 90.00 90.00 90.00
Fractional coordinates of all 4 atoms:
Se  0.500  0.500  0.248
Cd  0.000  0.500  0.515
Cd  0.500  0.000  0.990
P  0.000  0.000  0.747

Results
Raw total energy, eV/atom: -2.8159
Density, g/cm3: 5.03
Formation energy from raw total energies, meV per atom: -135

Density functional theory data (GGA-PBE) for a relaxed CdP2Se crystal.

Lattice parameters (Å, degrees): 4.712 4.712 4.712 60.00 60.00 60.00
Fractional coordinates of all 4 atoms:
P  0.250  0.250  0.250
P  0.750  0.750  0.750
Se  0.000  0.000  0.000
Cd  0.500  0.500  0.500

Results
Raw total energy, eV/atom: -3.1249
Density, g/cm3: 5.69
Relative energy among the computed polymorphs, meV/atom: 638
Formation energy from raw total energies, meV per atom: 680

Density functional theory data (GGA-PBE) for a relaxed CdP2Se crystal.

Lattice parameters (Å, degrees): 5.170 2.683 7.280 67.96 90.00 90.00
Fractional coordinates of all 4 atoms:
Cd  0.500  0.750  0.750
P  0.000  0.412  0.091
P  0.000  0.088  0.409
Se  0.500  0.250  0.250

Results
Raw total energy, eV/atom: -3.4631
Density, g/cm3: 4.49
Relative energy among the computed polymorphs, meV/atom: 300
Formation energy from raw total energies, meV per atom: 342

Density functional theory data (GGA-PBE) for a relaxed CdP2Se crystal.

Lattice parameters (Å, degrees): 2.579 2.579 13.950 90.00 90.00 89.99
Fractional coordinates of all 4 atoms:
Se  0.500  0.500  0.250
P  0.000  0.000  0.964
P  0.000  0.000  0.536
Cd  0.500  0.500  0.750

Results
Raw total energy, eV/atom: -3.2250
Density, g/cm3: 4.53
Relative energy among the computed polymorphs, meV/atom: 538
Formation energy from raw total energies, meV per atom: 580

Density functional theory data (GGA-PBE) for a relaxed Cd2PSe crystal.

Lattice parameters (Å, degrees): 3.638 3.638 7.574 90.00 90.00 114.15
Fractional coordinates of all 4 atoms:
P  0.500  0.500  0.500
Se  0.500  0.500  0.000
Cd  0.000  0.000  0.259
Cd  0.000  0.000  0.741

Results
Raw total energy, eV/atom: -2.5125
Density, g/cm3: 6.08
Formation energy from raw total energies, meV per atom: 169

Density functional theory data (GGA-PBE) for a relaxed Cd2PSe crystal.

Lattice parameters (Å, degrees): 11.671 11.671 11.671 14.40 14.40 14.40
Fractional coordinates of all 4 atoms:
P  0.500  0.500  0.500
Cd  0.240  0.240  0.240
Cd  0.760  0.760  0.760
Se  0.000  0.000  0.000

Results
Raw total energy, eV/atom: -2.3026
Density, g/cm3: 6.49
Formation energy from raw total energies, meV per atom: 379

Density functional theory data (GGA-PBE) for a relaxed CdP2Se crystal.

Lattice parameters (Å, degrees): 3.676 3.676 6.124 90.00 90.00 90.00
Fractional coordinates of all 4 atoms:
Cd  0.500  0.500  0.699
Se  0.000  0.000  0.530
P  0.000  0.000  0.154
P  0.500  0.500  0.116

Results
Raw total energy, eV/atom: -3.7632
Density, g/cm3: 5.08
Relative energy among the computed polymorphs, meV/atom: 0
Formation energy from raw total energies, meV per atom: 42

Density functional theory data (GGA-PBE) for a relaxed CdP2Se crystal.

Lattice parameters (Å, degrees): 3.384 5.346 4.251 90.00 90.00 90.00
Fractional coordinates of all 4 atoms:
Se  0.500  0.000  0.500
P  0.500  0.500  0.000
P  0.000  0.000  0.000
Cd  0.000  0.500  0.500

Results
Raw total energy, eV/atom: -3.2284
Density, g/cm3: 5.47
Relative energy among the computed polymorphs, meV/atom: 535
Formation energy from raw total energies, meV per atom: 576

Density functional theory data (GGA-PBE) for a relaxed CdSi4P crystal.

Lattice parameters (Å, degrees): 5.221 5.221 5.221 60.00 60.00 60.00
Fractional coordinates of all 6 atoms:
Cd  0.250  0.250  0.250
Si  0.123  0.626  0.626
Si  0.626  0.626  0.123
Si  0.626  0.626  0.626
Si  0.626  0.123  0.626
P  0.000  0.000  0.000

Results
Raw total energy, eV/atom: -4.0154
Density, g/cm3: 4.22
Formation energy from raw total energies, meV per atom: 654

Density functional theory data (GGA-PBE) for a relaxed CdSiP crystal.

Lattice parameters (Å, degrees): 4.474 4.474 4.474 60.00 60.00 60.00
Fractional coordinates of all 3 atoms:
Cd  0.500  0.500  0.500
Si  0.000  0.000  0.000
P  0.250  0.250  0.250

Results
Raw total energy, eV/atom: -3.4086
Density, g/cm3: 4.50
Relative energy among the computed polymorphs, meV/atom: 467
Formation energy from raw total energies, meV per atom: 507

Density functional theory data (GGA-PBE) for a relaxed CdSiP crystal.

Lattice parameters (Å, degrees): 4.693 4.693 2.815 90.00 90.00 120.00
Fractional coordinates of all 3 atoms:
P  0.333  0.667  0.500
Si  0.667  0.333  0.500
Cd  0.000  0.000  0.000

Results
Raw total energy, eV/atom: -3.4173
Density, g/cm3: 5.30
Relative energy among the computed polymorphs, meV/atom: 458
Formation energy from raw total energies, meV per atom: 499

Density functional theory data (GGA-PBE) for a relaxed CdSiP4 crystal.

Lattice parameters (Å, degrees): 5.370 5.370 5.370 60.00 60.00 60.00
Fractional coordinates of all 6 atoms:
Cd  0.000  0.000  0.000
P  0.391  0.391  0.828
P  0.391  0.828  0.391
P  0.391  0.391  0.391
P  0.828  0.391  0.391
Si  0.750  0.750  0.750

Results
Raw total energy, eV/atom: -3.9573
Density, g/cm3: 4.01
Formation energy from raw total energies, meV per atom: 706

Density functional theory data (GGA-PBE) for a relaxed CdSi3P crystal.

Lattice parameters (Å, degrees): 4.949 4.949 4.949 90.00 90.00 90.00
Fractional coordinates of all 5 atoms:
Si  0.500  0.000  0.000
Si  0.000  0.500  0.000
Si  0.000  0.000  0.500
Cd  0.000  0.000  0.000
P  0.500  0.500  0.500

Results
Raw total energy, eV/atom: -2.9987
Density, g/cm3: 3.12
Relative energy among the computed polymorphs, meV/atom: 774
Formation energy from raw total energies, meV per atom: 1520

Density functional theory data (GGA-PBE) for a relaxed CdSiP crystal.

Lattice parameters (Å, degrees): 4.516 4.516 4.516 60.00 60.00 60.00
Fractional coordinates of all 3 atoms:
P  0.000  0.000  0.000
Si  0.500  0.500  0.500
Cd  0.250  0.250  0.250

Results
Raw total energy, eV/atom: -3.2342
Density, g/cm3: 4.37
Relative energy among the computed polymorphs, meV/atom: 641
Formation energy from raw total energies, meV per atom: 682

Density functional theory data (GGA-PBE) for a relaxed Cd4SiP crystal.

Lattice parameters (Å, degrees): 5.704 5.704 5.704 60.00 60.00 60.00
Fractional coordinates of all 6 atoms:
Cd  0.375  0.875  0.375
Cd  0.875  0.375  0.375
Cd  0.375  0.375  0.375
Cd  0.375  0.375  0.875
Si  0.000  0.000  0.000
P  0.750  0.750  0.750

Results
Raw total energy, eV/atom: -1.8496
Density, g/cm3: 6.44
Formation energy from raw total energies, meV per atom: 566

Density functional theory data (GGA-PBE) for a relaxed CdSiP crystal.

Lattice parameters (Å, degrees): 6.141 3.541 6.067 90.00 110.62 90.00
Fractional coordinates of all 6 atoms:
Cd  0.951  0.000  0.625
Cd  0.951  0.500  0.125
Si  0.307  0.500  0.575
Si  0.307  0.000  0.075
P  0.498  0.000  0.478
P  0.498  0.500  0.978

Results
Raw total energy, eV/atom: -3.8669
Density, g/cm3: 4.61
Relative energy among the computed polymorphs, meV/atom: 9
Formation energy from raw total energies, meV per atom: 49

Density functional theory data (GGA-PBE) for a relaxed CdSiP crystal.

Lattice parameters (Å, degrees): 8.235 8.062 2.914 83.07 76.37 20.56
Fractional coordinates of all 3 atoms:
Cd  0.000  0.000  0.000
P  0.300  0.300  0.700
Si  0.700  0.700  0.300

Results
Raw total energy, eV/atom: -3.5042
Density, g/cm3: 4.51
Relative energy among the computed polymorphs, meV/atom: 371
Formation energy from raw total energies, meV per atom: 412

Density functional theory data (GGA-PBE) for a relaxed CdSiP crystal.

Lattice parameters (Å, degrees): 3.501 5.684 7.004 109.30 95.18 107.53
Fractional coordinates of all 6 atoms:
Si  0.369  0.257  0.483
Si  0.631  0.743  0.517
Cd  0.128  0.765  0.905
Cd  0.872  0.235  0.095
P  0.895  0.234  0.689
P  0.105  0.766  0.311

Results
Raw total energy, eV/atom: -3.8453
Density, g/cm3: 4.64
Relative energy among the computed polymorphs, meV/atom: 30
Formation energy from raw total energies, meV per atom: 71

Density functional theory data (GGA-PBE) for a relaxed CdSiP3 crystal.

Lattice parameters (Å, degrees): 4.568 4.568 4.568 90.00 90.00 90.00
Fractional coordinates of all 5 atoms:
P  0.000  0.500  0.000
P  0.500  0.000  0.000
P  0.000  0.000  0.500
Si  0.000  0.000  0.000
Cd  0.500  0.500  0.500

Results
Raw total energy, eV/atom: -3.8341
Density, g/cm3: 4.07
Relative energy among the computed polymorphs, meV/atom: 0
Formation energy from raw total energies, meV per atom: 679

Density functional theory data (GGA-PBE) for a relaxed CdSi3P crystal.

Lattice parameters (Å, degrees): 4.605 4.605 4.605 90.00 90.00 90.00
Fractional coordinates of all 5 atoms:
Si  0.000  0.500  0.000
Si  0.000  0.000  0.500
Si  0.500  0.000  0.000
P  0.000  0.000  0.000
Cd  0.500  0.500  0.500

Results
Raw total energy, eV/atom: -3.7724
Density, g/cm3: 3.87
Relative energy among the computed polymorphs, meV/atom: 0
Formation energy from raw total energies, meV per atom: 746